1.
DFT (PBE-GGA) results for TbCe2ScTe5 after structural relaxation.

Output
**Crystal system**: tetragonal
**ΔE_f (raw)**: -0.76 eV per atom
**E**: -45.413 eV/f.u.

Unit cell a=5.5778 b=5.5778 c=11.2056 alpha=90.00 beta=90.00 gamma=90.00
Last column: nearest neighbours and their distance in Å.
Atoms (fractional coordinates):
Ce1 0.5000 0.5000 0.6930  5 Te 3.44-3.53
Te1 0.0000 0.0000 0.2374  1 Sc 2.66, 1 Tb 2.94
Te2 0.5000 0.0000 0.5000  2 Tb 2.79
Te3 0.0000 0.0000 0.7626  1 Sc 2.66, 1 Tb 2.94
Ce2 0.5000 0.5000 0.3070  5 Te 3.44-3.53
Sc1 0.0000 0.0000 0.0000  2 Te 2.66
Te4 0.5000 0.5000 0.0000  2 Ce 3.44
Tb1 0.0000 0.0000 0.5000  6 Te 2.79-2.94
Te5 0.0000 0.5000 0.5000  2 Tb 2.79

2.
DFT (PBE-GGA) results for AcHg2Ge after structural relaxation.

Output
**Crystal system**: orthorhombic
**Energy of formation from the pure elements**: -0.3558 eV/atom
**E**: -10.752 eV/f.u.

Unit cell a=4.8545 b=4.4219 c=10.4123 alpha=102.26 beta=90.00 gamma=90.00
Last column: nearest neighbours and their distance in Å.
Atoms (fractional coordinates):
Hg1 0.2500 0.5330 0.0660  1 Ge 2.67, 2 Hg 2.77
Ac1 0.2500 0.8880 0.7761  4 Ge 3.45, 10 Hg 3.56-3.73
Ge1 0.7500 0.3357 0.6714  5 Hg 2.67-2.98
Ac2 0.7500 0.1120 0.2239  4 Ge 3.45, 10 Hg 3.56-3.73
Ge2 0.2500 0.6643 0.3286  5 Hg 2.67-2.98
Hg2 0.7500 0.7491 0.4981  4 Ge 2.83-2.98
Hg3 0.2500 0.2509 0.5019  4 Ge 2.83-2.98
Hg4 0.7500 0.4670 0.9340  1 Ge 2.67, 2 Hg 2.77

3.
DFT (PBE-GGA) results for CaYCuRu after structural relaxation.

Output
**Crystal system**: cubic
**Energy of formation from the pure elements**: -0.0720 eV/atom
**E**: -22.126 eV/f.u.

Unit cell a=4.8833 b=4.8833 c=4.8833 alpha=60.00 beta=60.00 gamma=60.00
Last column: nearest neighbours and their distance in Å.
Atoms (fractional coordinates):
Ca1 0.0000 0.0000 0.0000  4 Ru 2.99, 4 Cu 2.99
Cu1 0.2500 0.2500 0.2500  4 Y 2.99, 4 Ca 2.99
Ru1 0.7500 0.7500 0.7500  4 Ca 2.99, 4 Y 2.99
Y1 0.5000 0.5000 0.5000  4 Cu 2.99, 4 Ru 2.99

4.
DFT (PBE-GGA) results for CeHoIr2 after structural relaxation.

Output
**Crystal system**: tetragonal
**Energy of formation from the pure elements**: -0.7526 eV/atom
**E**: -31.244 eV/f.u.

Unit cell a=3.4685 b=4.8815 c=4.8815 alpha=90.00 beta=90.00 gamma=90.00
Last column: nearest neighbours and their distance in Å.
Atoms (fractional coordinates):
Ce1 0.5000 0.0000 0.0000  8 Ir 2.99
Ir1 0.0000 0.0000 0.5000  4 Ce 2.99, 4 Ho 2.99
Ir2 0.0000 0.5000 0.0000  4 Ce 2.99, 4 Ho 2.99
Ho1 0.5000 0.5000 0.5000  8 Ir 2.99

5.
DFT (PBE-GGA) results for AlCdRe2 after structural relaxation.

Output
**Crystal system**: tetragonal
**Energy of formation from the pure elements**: 0.5251 eV/atom
**E**: -27.453 eV/f.u.
**Energy above the lowest structure with this stoichiometry**: 413 meV/atom

Unit cell a=4.2907 b=3.8691 c=3.8691 alpha=90.00 beta=90.00 gamma=90.00
Last column: nearest neighbours and their distance in Å.
Atoms (fractional coordinates):
Re1 0.0000 0.5000 0.5000  4 Re 2.74, 4 Cd 2.89, 4 Al 2.89
Re2 0.0000 0.0000 0.0000  4 Re 2.74, 4 Cd 2.89, 4 Al 2.89
Cd1 0.5000 0.0000 0.5000  4 Al 2.74, 8 Re 2.89
Al1 0.5000 0.5000 0.0000  4 Cd 2.74, 8 Re 2.89

6.
DFT (PBE-GGA) results for CaAgSe3 after structural relaxation.

Output
**Crystal system**: cubic
**ΔE_f (raw)**: -0.32 eV per atom
**E**: -16.882 eV/f.u.
**Energy above the lowest structure with this stoichiometry**: 0 meV/atom

Unit cell a=5.1037 b=5.1037 c=5.1037 alpha=90.00 beta=90.00 gamma=90.00
Last column: nearest neighbours and their distance in Å.
Atoms (fractional coordinates):
Se1 0.0000 0.0000 0.5000  2 Ag 2.55
Ca1 0.5000 0.5000 0.5000  12 Se 3.61
Ag1 0.0000 0.0000 0.0000  6 Se 2.55
Se2 0.5000 0.0000 0.0000  2 Ag 2.55
Se3 0.0000 0.5000 0.0000  2 Ag 2.55